# 1
DFT (PBE) results for crystalline Cs3ZrSc2Se6 at its relaxed geometry.

a = 6.9914 Å, b = 6.9914 Å, c = 8.6552 Å
α = 97.74°, β = 97.74°, γ = 120.00°
Fractional coordinates of all 12 atoms:
Cs 0.0000 0.0000 0.0000
Cs 0.3334 0.6666 0.0000
Cs 0.6666 0.3334 0.0000
Zr 0.5000 0.5000 0.5000
Sc 0.1667 0.8333 0.5000
Sc 0.8333 0.1667 0.5000
Se 0.1077 0.4400 0.3200
Se 0.2277 0.2277 0.6801
Se 0.4400 0.1077 0.3200
Se 0.5600 0.8923 0.6800
Se 0.7723 0.7723 0.3199
Se 0.8923 0.5600 0.6800

Results
Space group = No. 12
ΔE_f (raw) = -17.6 eV/f.u.
Total DFT energy (no corrections) = -62.275 eV for the cell shown

=====

# 2
DFT (PBE) results for crystalline TmS2 at its relaxed geometry.

a = 5.4890 Å, b = 5.4890 Å, c = 5.4890 Å
α = 60.00°, β = 60.00°, γ = 60.00°
Fractional coordinates of all 6 atoms:
Tm 0.1250 0.1250 0.1250
Tm 0.8750 0.8750 0.8750
S 0.0000 0.5000 0.5000
S 0.5000 0.0000 0.5000
S 0.5000 0.5000 0.0000
S 0.5000 0.5000 0.5000

Results
Space group = No. 227
ΔE_f (raw) = 0.1 eV/f.u.
Total DFT energy (no corrections) = -25.333 eV for the cell shown

=====

# 3
DFT (PBE) results for crystalline TbSm3Dy2 at its relaxed geometry.

a = 9.6689 Å, b = 3.5606 Å, c = 11.5574 Å
α = 90.00°, β = 93.93°, γ = 90.00°
Fractional coordinates of all 12 atoms:
Tb 0.2420 0.2500 0.3547
Tb 0.7580 0.7500 0.6453
Sm 0.0764 0.7500 0.1199
Sm 0.2382 0.7500 0.8603
Sm 0.4008 0.7500 0.6030
Sm 0.5992 0.2500 0.3970
Sm 0.7618 0.2500 0.1397
Sm 0.9236 0.2500 0.8801
Dy 0.0819 0.2500 0.6202
Dy 0.4426 0.7500 0.1434
Dy 0.5574 0.2500 0.8566
Dy 0.9181 0.7500 0.3798

Results
Polymorph energy (0 for the lowest one) = 69 meV per atom
Space group = No. 11
E_form = 72 meV per atom
Total DFT energy (no corrections) = -55.123 eV for the cell shown

=====

# 4
DFT (PBE) results for crystalline LiInP2 at its relaxed geometry.

a = 5.8039 Å, b = 5.8039 Å, c = 3.8702 Å
α = 108.06°, β = 108.06°, γ = 37.59°
Fractional coordinates of all 4 atoms:
Li 0.0000 0.0000 0.0000
In 0.7310 0.7310 0.0201
P 0.3164 0.3164 0.5780
P 0.5034 0.5034 0.4940

Results
Space group = No. 8
E_form = -143 meV per atom
Total DFT energy (no corrections) = -16.042 eV for the cell shown

=====

# 5
DFT (PBE) results for crystalline Tb6PmY3Th2 at its relaxed geometry.

a = 6.1996 Å, b = 6.1996 Å, c = 11.8344 Å
α = 95.02°, β = 95.02°, γ = 119.95°
Fractional coordinates of all 12 atoms:
Tb 0.0788 0.4166 0.7523
Tb 0.2454 0.2454 0.2478
Tb 0.4166 0.0788 0.7523
Tb 0.5834 0.9212 0.2477
Tb 0.7546 0.7546 0.7522
Tb 0.9212 0.5834 0.2477
Pm 0.5000 0.5000 0.0000
Y 0.0000 0.0000 0.5000
Y 0.3336 0.6664 0.5000
Y 0.6664 0.3336 0.5000
Th 0.1667 0.8333 0.0000
Th 0.8333 0.1667 0.0000

Results
Space group = No. 12
E_form = 30 meV per atom
Total DFT energy (no corrections) = -66.399 eV for the cell shown